*one*
TlCdGa2Co after structural relaxation, computed with PBE.

Lattice parameters (Å, degrees): 4.641 4.641 5.122 90.00 90.00 90.00
Space group P4/mmm (No. 123)
Unique sites:
Tl  0.000  0.000  0.000 x1
Cd  0.500  0.500  0.000 x1
Ga  0.000  0.500  0.500 x2
Co  0.000  0.000  0.500 x1



*two*
TlCdGa2Co after structural relaxation, computed with PBE.

Lattice parameters (Å, degrees): 4.613 4.613 5.132 90.00 90.00 90.00
Space group P4/mmm (No. 123)
Unique sites:
Tl  0.000  0.000  0.000 x1
Cd  0.500  0.500  0.000 x1
Ga  0.000  0.500  0.500 x2
Co  0.500  0.500  0.500 x1



Which of them is most stable, and which least? Most stable: *two*; least stable: *one*.



*one*
ZnCd2GaCo after structural relaxation, computed with PBE.

Lattice parameters (Å, degrees): 4.993 4.993 4.514 90.00 90.00 90.00
Space group P4/mmm (No. 123)
Unique sites:
Zn  0.000  0.000  0.000 x1
Cd  0.000  0.500  0.500 x2
Ga  0.500  0.500  0.000 x1
Co  0.500  0.500  0.500 x1



*two*
ZnCd2GaCo after structural relaxation, computed with PBE.

Lattice parameters (Å, degrees): 5.074 5.074 4.560 90.00 90.00 90.00
Space group P4/mmm (No. 123)
Unique sites:
Zn  0.000  0.000  0.000 x1
Cd  0.000  0.500  0.500 x2
Ga  0.500  0.500  0.500 x1
Co  0.500  0.500  0.000 x1



Which of them is most stable, and which least? Most stable: *one*; least stable: *two*.



*one*
Gd2CdCo after structural relaxation, computed with PBE.

Lattice parameters (Å, degrees): 7.201 7.201 7.201 90.00 90.00 90.00
Space group Fm-3m (No. 225)
Unique sites:
Gd  0.250  0.250  0.250 x8
Cd  0.000  0.000  0.000 x4
Co  0.000  0.000  0.500 x4



*two*
Gd2CdCo after structural relaxation, computed with PBE.

Lattice parameters (Å, degrees): 3.457 3.457 7.750 90.00 90.00 90.00
Space group P4/mmm (No. 123)
Unique sites:
Gd  0.000  0.000  0.213 x2
Cd  0.500  0.500  0.500 x1
Co  0.500  0.500  0.000 x1



Which of them is most stable, and which least? Most stable: *two*; least stable: *one*.



*one*
CdCo3Ge after structural relaxation, computed with PBE.

Lattice parameters (Å, degrees): 4.350 4.350 4.350 90.00 90.00 90.00
Space group Pm-3m (No. 221)
Unique sites:
Cd  0.000  0.000  0.000 x1
Co  0.000  0.500  0.500 x3
Ge  0.500  0.500  0.500 x1



*two*
CdCo3Ge after structural relaxation, computed with PBE.

Lattice parameters (Å, degrees): 4.669 4.669 4.669 90.00 90.00 90.00
Space group Pm-3m (No. 221)
Unique sites:
Cd  0.000  0.000  0.000 x1
Co  0.000  0.000  0.500 x3
Ge  0.500  0.500  0.500 x1



Which of them is most stable, and which least? Most stable: *one*; least stable: *two*.